Version 1
Material: Li2FeI
Method: DFT, PBE
State: optimized geometry

abc: 7.6141 7.6141 6.0878
angles: 51.29 51.29 90.00
Element x y z (fractional)
Fe1 0.5000 0.5000 0.0000
I1 0.7500 0.2500 0.5000
Li1 0.8750 0.8769 0.7500
Li2 0.3750 0.3731 0.7500
Li3 0.1231 0.6250 0.2500
Li4 0.6269 0.1250 0.2500
I2 0.0000 0.0000 0.0000
Fe2 0.2500 0.7500 0.5000

Properties
The symmetry is No. 122.

Version 2
Material: Li2FeI
Method: DFT, PBE
State: optimized geometry

abc: 4.8533 4.8533 4.8533
angles: 60.00 60.00 60.00
Element x y z (fractional)
I1 0.5000 0.5000 0.5000
Fe1 0.0000 0.0000 0.0000
Li1 0.7500 0.7500 0.7500
Li2 0.2500 0.2500 0.2500

Properties
The symmetry is No. 225.

If we sort the structures by their calculated energies, the order from most to least stable is version 1, version 2.

Version 1
Material: Li2Fe2I
Method: DFT, PBE
State: optimized geometry

abc: 6.7521 6.7521 3.8164
angles: 90.00 90.00 90.00
Element x y z (fractional)
Fe1 0.1179 0.3821 0.0000
I1 0.5000 0.5000 0.0000
I2 0.0000 0.0000 0.0000
Li1 0.8357 0.3357 0.5000
Fe2 0.6179 0.1179 0.0000
Fe3 0.3821 0.8821 0.0000
Li2 0.6643 0.8357 0.5000
Fe4 0.8821 0.6179 0.0000
Li3 0.1643 0.6643 0.5000
Li4 0.3357 0.1643 0.5000

Properties
The symmetry is No. 127.

Version 2
Material: Li2Fe2I
Method: DFT, PBE
State: optimized geometry

abc: 3.8492 3.8492 6.9784
angles: 73.99 73.99 90.00
Element x y z (fractional)
Li1 0.7500 0.2500 0.5000
I1 0.0000 0.0000 0.0000
Fe1 0.4117 0.4117 0.1765
Fe2 0.5883 0.5883 0.8235
Li2 0.2500 0.7500 0.5000

Properties
The symmetry is No. 139.

If we sort the structures by their calculated energies, the order from most to least stable is version 1, version 2.

Version 1
Material: LiFeI2
Method: DFT, PBE
State: optimized geometry

abc: 4.2791 4.2791 8.6241
angles: 75.64 75.64 60.00
Element x y z (fractional)
I1 0.1015 0.1015 0.6956
Li1 0.5000 0.5000 0.5000
I2 0.8985 0.8985 0.3044
Fe1 0.0000 0.0000 0.0000

Properties
The symmetry is No. 166.

Version 2
Material: LiFeI2
Method: DFT, PBE
State: optimized geometry

abc: 5.1845 5.1845 5.1845
angles: 60.00 60.00 60.00
Element x y z (fractional)
Li1 0.0000 0.0000 0.0000
I1 0.2500 0.2500 0.2500
I2 0.7500 0.7500 0.7500
Fe1 0.5000 0.5000 0.5000

Properties
The symmetry is No. 225.

Version 3
Material: LiFeI2
Method: DFT, PBE
State: optimized geometry

abc: 6.2798 6.2798 7.6858
angles: 65.89 65.89 90.00
Element x y z (fractional)
Li1 0.2500 0.7500 0.5000
I1 0.1077 0.6250 0.2500
I2 0.8750 0.8923 0.7500
I3 0.6423 0.1250 0.2500
Fe1 0.0000 0.0000 0.0000
Fe2 0.7500 0.2500 0.5000
I4 0.3750 0.3577 0.7500
Li2 0.5000 0.5000 0.0000

Properties
The symmetry is No. 122.

If we sort the structures by their calculated energies, the order from most to least stable is version 3, version 1, version 2.

Version 1
Material: LiFe2I
Method: DFT, PBE
State: optimized geometry

abc: 4.1534 4.1534 4.1534
angles: 60.00 60.00 60.00
Element x y z (fractional)
Li1 0.0000 0.0000 0.0000
I1 0.5000 0.5000 0.5000
Fe1 0.7500 0.7500 0.7500
Fe2 0.2500 0.2500 0.2500

Properties
The symmetry is No. 225.

Version 2
Material: LiFe2I
Method: DFT, PBE
State: optimized geometry

abc: 7.6388 7.6388 5.9749
angles: 50.26 50.26 90.00
Element x y z (fractional)
Fe1 0.1008 0.6250 0.2500
Fe2 0.8750 0.8992 0.7500
Fe3 0.3750 0.3508 0.7500
Li1 0.5000 0.5000 0.0000
Li2 0.2500 0.7500 0.5000
I1 0.7500 0.2500 0.5000
I2 0.0000 0.0000 0.0000
Fe4 0.6492 0.1250 0.2500

Properties
The symmetry is No. 122.

If we sort the structures by their calculated energies, the order from most to least stable is version 1, version 2.